Below is CsSbP after structural relaxation, with properties calculated at the PBE-GGA level.

**Symmetry**: Cm, No. 8
**Formation energy from raw total energies**: -0.275 eV/atom

abc: 7.410 7.410 6.419
angles: 90.29 90.29 54.56
Element x y z (fractional)
Cs  0.000  0.000  0.000
Cs  0.738  0.738  0.471
Sb  0.317  0.317  0.117
Sb  0.392  0.392  0.701
P  0.502  0.502  0.199
P  0.559  0.559  0.887


Below is K2ScZnSe4 after structural relaxation, with properties calculated at the PBE-GGA level.

**Symmetry**: I-42m, No. 121
**DOS at the Fermi energy**: 9.93 states/eV/f.u.
**Formation energy from raw total energies**: -1.033 eV/atom

abc: 6.655 6.655 6.655
angles: 105.57 105.57 117.59
Element x y z (fractional)
K  0.000  0.500  0.500
K  0.500  0.000  0.500
Sc  0.000  0.000  0.000
Zn  0.500  0.500  0.000
Se  0.096  0.096  0.670
Se  0.427  0.427  0.330
Se  0.573  0.904  0.000
Se  0.904  0.573  0.000


Below is ZrZnRhAu after structural relaxation, with properties calculated at the PBE-GGA level.

**Symmetry**: I-4m2, No. 119
**Formation enthalpy at 0 K**: -0.5452 eV/atom
**DOS at the Fermi energy**: 0.77 states/eV/f.u.

abc: 4.920 4.920 4.920
angles: 130.63 130.63 72.40
Element x y z (fractional)
Zr  0.000  0.000  0.000
Zn  0.500  0.500  0.000
Rh  0.250  0.750  0.500
Au  0.750  0.250  0.500